# 1
# Fe6Pt7 | Alexandria via LeMat-Bulk | PBE-GGA | relaxed
# * space-group type: R-3m (166)
# * energy: -7.06 eV per atom
# * ΔH_f (0 K): 0.096 eV/atom
# * crystal system: trigonal
data_Fe6Pt7
_chemical_formula_sum 'Fe6 Pt7'
_symmetry_space_group_name_H-M 'P 1'
_symmetry_Int_Tables_number 1
_symmetry_space_group_name_Hall 'P 1'
_cell_length_a 9.124
_cell_length_b 9.124
_cell_length_c 9.124
_cell_angle_alpha 33.28
_cell_angle_beta 33.28
_cell_angle_gamma 33.28
loop_
_atom_site_label
_atom_site_fract_x
_atom_site_fract_y
_atom_site_fract_z
_atom_site_occupancy
Fe1 0.951 0.951 0.951 1
Fe2 0.049 0.049 0.049 1
Fe3 0.848 0.848 0.848 1
Fe4 0.152 0.152 0.152 1
Fe5 0.666 0.666 0.666 1
Fe6 0.334 0.334 0.334 1
Pt1 0.920 0.416 0.416 1
Pt2 0.416 0.416 0.920 1
Pt3 0.416 0.920 0.416 1
Pt4 0.080 0.584 0.584 1
Pt5 0.584 0.080 0.584 1
Pt6 0.584 0.584 0.080 1
Pt7 0.500 0.500 0.500 1

# 2
# FePt3 | Alexandria via LeMat-Bulk | PBE-GGA | relaxed
# * space-group type: Pmm2 (25)
# * energy: -6.65 eV per atom
# * ΔH_f (0 K): -0.008 eV/atom
# * crystal system: orthorhombic
data_FePt3
_chemical_formula_sum 'Fe1 Pt3'
_symmetry_space_group_name_H-M 'P 1'
_symmetry_Int_Tables_number 1
_symmetry_space_group_name_Hall 'P 1'
_cell_length_a 2.730
_cell_length_b 2.724
_cell_length_c 8.430
_cell_angle_alpha 90.00
_cell_angle_beta 90.00
_cell_angle_gamma 90.00
loop_
_atom_site_label
_atom_site_fract_x
_atom_site_fract_y
_atom_site_fract_z
_atom_site_occupancy
Fe1 0.000 0.000 0.970 1
Pt1 0.000 0.500 0.465 1
Pt2 0.500 0.500 0.184 1
Pt3 0.500 0.000 0.715 1

Please write out number 2 again, unchanged.
# FePt3 | Alexandria via LeMat-Bulk | PBE-GGA | relaxed
# * space-group type: Pmm2 (25)
# * energy: -6.65 eV per atom
# * ΔH_f (0 K): -0.008 eV/atom
# * crystal system: orthorhombic
data_FePt3
_chemical_formula_sum 'Fe1 Pt3'
_symmetry_space_group_name_H-M 'P 1'
_symmetry_Int_Tables_number 1
_symmetry_space_group_name_Hall 'P 1'
_cell_length_a 2.730
_cell_length_b 2.724
_cell_length_c 8.430
_cell_angle_alpha 90.00
_cell_angle_beta 90.00
_cell_angle_gamma 90.00
loop_
_atom_site_label
_atom_site_fract_x
_atom_site_fract_y
_atom_site_fract_z
_atom_site_occupancy
Fe1 0.000 0.000 0.970 1
Pt1 0.000 0.500 0.465 1
Pt2 0.500 0.500 0.184 1
Pt3 0.500 0.000 0.715 1

What is the ΔH_f (0 K) in the second record?
-0.008 eV/atom

What is the ΔH_f (0 K) in the second record?
-0.008 eV/atom